ScCdAu | PBE | optimized geometry

Computed properties:
Calculated total energy in eV/atom: -3.92
DOS(E_F) in states/eV/f.u.: 2.3
Magnetization in μB per formula unit: 0.00
Formation enthalpy at 0 K in eV/f.u.: -1.2
Crystal system: hexagonal

a b c (Å): 5.082 5.082 5.729
angles (deg): 90.00 90.00 120.00
Element x y z (fractional)
Cd: 0.000 0.000 0.343
Au: 0.667 0.333 0.343
Au: 0.333 0.667 0.843
Sc: 0.667 0.333 0.843
Sc: 0.333 0.667 0.343
Cd: 0.000 0.000 0.843